Below is an optimized crystal structure of FeTcN2F, with properties calculated at the PBE+U level.

It has space group P4/mmm (No. 123), with a = 3.9216 Å, b = 3.9216 Å, c = 3.7850 Å, α = 90.00°, β = 90.00° and γ = 90.00°. The asymmetric unit holds Fe at (0.0000, 0.0000, 0.0000), Tc at (0.5000, 0.5000, 0.5000), N at (0.0000, 0.5000, 0.0000) and F at (0.0000, 0.0000, 0.5000).

As for the total energy: -6.1317 eV/atom. The calculation puts the magnetization at 7.90 μB/cell.